No. 1
## Tb3DyPd6 (PBE-GGA)

Data for crystalline Tb3DyPd6 at its relaxed geometry.

## Properties
As for the final energy: -0.214 Ha/atom.

a = 8.1350 Å, b = 4.6135 Å, c = 11.3671 Å
α = 90.00°, β = 103.53°, γ = 90.00°
Last column: nearest neighbours and their distance in Å.
Positions (direct):
Tb (0.0140, 0.2500, 0.1213)  6 Pd 2.85-3.09
Tb (0.1384, 0.2500, 0.6875)  8 Pd 2.72-3.01
Tb (0.3111, 0.7500, 0.5067)  7 Pd 2.90-3.08
Tb (0.6889, 0.2500, 0.4933)  7 Pd 2.90-3.08
Tb (0.8616, 0.7500, 0.3125)  8 Pd 2.72-3.01
Tb (0.9860, 0.7500, 0.8787)  6 Pd 2.85-3.09
Dy (0.4048, 0.7500, 0.0918)  7 Pd 2.83-3.08
Dy (0.5952, 0.2500, 0.9082)  7 Pd 2.83-3.08
Pd (0.0624, 0.2500, 0.4176)  1 Pd 2.89, 5 Tb 2.92-3.08
Pd (0.1674, 0.7500, 0.2478)  4 Tb 2.75-2.90, 3 Pd 2.76-2.97, 1 Dy 2.91
Pd (0.2364, 0.2500, 0.9454)  4 Tb 2.85-3.05, 3 Dy 2.98-3.05, 2 Pd 3.11
Pd (0.3539, 0.2500, 0.3127)  6 Pd 2.74-2.95, 1 Tb 3.00
Pd (0.3553, 0.7500, 0.8018)  5 Pd 2.95-3.11, 3 Tb 3.01-3.29, 3 Dy 3.08-3.23
Pd (0.4600, 0.2500, 0.6554)  4 Tb 2.72-2.95, 3 Pd 2.74-2.97, 1 Dy 2.83
Pd (0.5400, 0.7500, 0.3446)  4 Tb 2.72-2.95, 3 Pd 2.74-2.97, 1 Dy 2.83
Pd (0.6447, 0.2500, 0.1982)  5 Pd 2.95-3.11, 3 Tb 3.01-3.29, 3 Dy 3.08-3.23
Pd (0.6461, 0.7500, 0.6873)  6 Pd 2.74-2.95, 1 Tb 3.00
Pd (0.7636, 0.7500, 0.0546)  4 Tb 2.85-3.05, 3 Dy 2.98-3.05, 2 Pd 3.11
Pd (0.8326, 0.2500, 0.7522)  4 Tb 2.75-2.90, 3 Pd 2.76-2.97, 1 Dy 2.91
Pd (0.9376, 0.7500, 0.5824)  1 Pd 2.89, 5 Tb 2.92-3.08

No. 2
## SrTaSi2 (PBE-GGA)

Data for crystalline SrTaSi2 at its relaxed geometry.

## Properties
As for the final energy: -0.227 Ha/atom. The calculation puts the energy relative to the elements, uncorrected at -0.07 eV per atom.

a = 4.1138 Å, b = 4.1138 Å, c = 18.8581 Å
α = 90.00°, β = 90.00°, γ = 120.00°
Last column: nearest neighbours and their distance in Å.
Positions (direct):
Sr (0.0000, 0.0000, 0.0000)  6 Si 3.14
Sr (0.3333, 0.6667, 0.6667)  6 Si 3.14
Sr (0.6667, 0.3333, 0.3333)  6 Si 3.14
Ta (0.0000, 0.0000, 0.5000)  6 Si 2.61
Ta (0.3333, 0.6667, 0.1667)  6 Si 2.61
Ta (0.6667, 0.3333, 0.8333)  6 Si 2.61
Si (0.0000, 0.0000, 0.2242)  3 Ta 2.61
Si (0.0000, 0.0000, 0.7758)  3 Ta 2.61
Si (0.3333, 0.6667, 0.4424)  3 Ta 2.61
Si (0.3333, 0.6667, 0.8909)  3 Ta 2.61
Si (0.6667, 0.3333, 0.1091)  3 Ta 2.61
Si (0.6667, 0.3333, 0.5576)  3 Ta 2.61

No. 3
## Ba4CoHg (PBE-GGA)

Data for crystalline Ba4CoHg at its relaxed geometry.

## Properties
As for the final energy: -0.063 Ha/atom.

a = 7.1700 Å, b = 7.1700 Å, c = 7.1700 Å
α = 60.00°, β = 60.00°, γ = 60.00°
Last column: nearest neighbours and their distance in Å.
Positions (direct):
Ba (0.1249, 0.1249, 0.1249)  6 Ba 3.58-3.59
Ba (0.1249, 0.1249, 0.6254)  6 Ba 3.58-3.59
Ba (0.1249, 0.6254, 0.1249)  6 Ba 3.58-3.59
Ba (0.6254, 0.1249, 0.1249)  6 Ba 3.58-3.59
Co (0.7500, 0.7500, 0.7500)  12 Ba 4.20, 4 Hg 4.39
Hg (0.5000, 0.5000, 0.5000)  12 Ba 4.20, 4 Co 4.39

No. 4
## Ba2CeSbS6 (PBE-GGA)

Data for crystalline Ba2CeSbS6 at its relaxed geometry.

## Properties
As for the final energy: -0.194 Ha/atom. The calculation puts the energy relative to the elements, uncorrected at -1.42 eV per atom.

a = 7.2039 Å, b = 7.4357 Å, c = 12.5558 Å
α = 90.00°, β = 124.72°, γ = 90.00°
Last column: nearest neighbours and their distance in Å.
Positions (direct):
Ba (0.2316, 0.0624, 0.2486)  7 S 3.19-3.54
Ba (0.2316, 0.4376, 0.7486)  7 S 3.19-3.54
Ba (0.7684, 0.5624, 0.2514)  7 S 3.19-3.54
Ba (0.7684, 0.9376, 0.7514)  7 S 3.19-3.54
Ce (0.5000, 0.0000, 0.0000)  6 S 2.69-2.72
Ce (0.5000, 0.5000, 0.5000)  6 S 2.69-2.72
Sb (0.0000, 0.0000, 0.5000)  6 S 2.61-2.63
Sb (0.0000, 0.5000, 0.0000)  6 S 2.61-2.63
S (0.1566, 0.2087, 0.9578)  1 Sb 2.63, 1 Ce 2.71
S (0.1566, 0.2913, 0.4578)  1 Sb 2.63, 1 Ce 2.71
S (0.2495, 0.6995, 0.9564)  1 Sb 2.62, 1 Ce 2.72
S (0.2495, 0.8005, 0.4564)  1 Sb 2.62, 1 Ce 2.72
S (0.3278, 0.0151, 0.7457)  1 Sb 2.61, 1 Ce 2.69
S (0.3278, 0.4849, 0.2457)  1 Sb 2.61, 1 Ce 2.69
S (0.6722, 0.5151, 0.7543)  1 Sb 2.61, 1 Ce 2.69
S (0.6722, 0.9849, 0.2543)  1 Sb 2.61, 1 Ce 2.69
S (0.7505, 0.1995, 0.5436)  1 Sb 2.62, 1 Ce 2.72
S (0.7505, 0.3005, 0.0436)  1 Sb 2.62, 1 Ce 2.72
S (0.8434, 0.7087, 0.5422)  1 Sb 2.63, 1 Ce 2.71
S (0.8434, 0.7913, 0.0422)  1 Sb 2.63, 1 Ce 2.71

No. 5
## UTe5 (PBE-GGA)

Data for crystalline UTe5 at its relaxed geometry.

## Properties
As for the final energy: -0.178 Ha/atom. The calculation puts the energy relative to the elements, uncorrected at -0.35 eV per atom.

a = 18.8727 Å, b = 4.2670 Å, c = 10.2404 Å
α = 90.00°, β = 90.00°, γ = 90.00°
Last column: nearest neighbours and their distance in Å.
Positions (direct):
U (0.0899, 0.1003, 0.0000)  9 Te 3.08-3.21
U (0.4101, 0.6003, 0.5000)  9 Te 3.08-3.21
U (0.5899, 0.3997, 0.0000)  9 Te 3.08-3.21
U (0.9101, 0.8997, 0.5000)  9 Te 3.08-3.21
Te (0.0016, 0.0381, 0.7487)  2 Te 2.95-3.30, 2 U 3.08-3.13
Te (0.0338, 0.3915, 0.5086)  2 Te 2.95-3.30, 2 U 3.14-3.19
Te (0.1572, 0.5983, 0.1918)  1 Te 2.84, 2 U 3.16-3.17
Te (0.1629, 0.5982, 0.8175)  1 Te 2.83, 2 U 3.15-3.16
Te (0.2480, 0.8248, 0.5087)  2 Te 2.83-2.84
Te (0.2520, 0.3248, 0.0087)  2 Te 2.83-2.84
Te (0.3371, 0.0982, 0.3175)  1 Te 2.83, 2 U 3.15-3.16
Te (0.3428, 0.0983, 0.6918)  1 Te 2.84, 2 U 3.16-3.17
Te (0.4662, 0.8915, 0.0086)  2 Te 2.95-3.30, 2 U 3.14-3.19
Te (0.4984, 0.5381, 0.2487)  2 Te 2.95-3.30, 2 U 3.08-3.13
Te (0.5016, 0.4619, 0.7487)  2 Te 2.95-3.30, 2 U 3.08-3.13
Te (0.5338, 0.1085, 0.5086)  2 Te 2.95-3.30, 2 U 3.14-3.19
Te (0.6572, 0.9017, 0.1918)  1 Te 2.84, 2 U 3.16-3.17
Te (0.6629, 0.9018, 0.8175)  1 Te 2.83, 2 U 3.15-3.16
Te (0.7480, 0.6752, 0.5087)  2 Te 2.83-2.84
Te (0.7520, 0.1752, 0.0087)  2 Te 2.83-2.84
Te (0.8371, 0.4018, 0.3175)  1 Te 2.83, 2 U 3.15-3.16
Te (0.8428, 0.4017, 0.6918)  1 Te 2.84, 2 U 3.16-3.17
Te (0.9662, 0.6085, 0.0086)  2 Te 2.95-3.30, 2 U 3.14-3.19
Te (0.9984, 0.9619, 0.2487)  2 Te 2.95-3.30, 2 U 3.08-3.13

No. 6
## AlV2Sb2 (PBE-GGA)

Data for crystalline AlV2Sb2 at its relaxed geometry.

## Properties
As for the final energy: -0.219 Ha/atom. The calculation puts the energy relative to the elements, uncorrected at 0.08 eV per atom.

a = 7.0895 Å, b = 7.0895 Å, c = 3.6680 Å
α = 90.00°, β = 90.00°, γ = 90.00°
Last column: nearest neighbours and their distance in Å.
Positions (direct):
Al (0.0000, 0.0000, 0.0000)  4 V 2.74
Al (0.5000, 0.5000, 0.0000)  4 V 2.74
V (0.1388, 0.3612, 0.0000)  6 Sb 2.74-2.80, 2 Al 2.74, 1 V 2.78
V (0.3612, 0.8612, 0.0000)  6 Sb 2.74-2.80, 2 Al 2.74, 1 V 2.78
V (0.6388, 0.1388, 0.0000)  6 Sb 2.74-2.80, 2 Al 2.74, 1 V 2.78
V (0.8612, 0.6388, 0.0000)  6 Sb 2.74-2.80, 2 Al 2.74, 1 V 2.78
Sb (0.1585, 0.6585, 0.5000)  6 V 2.74-2.80
Sb (0.3415, 0.1585, 0.5000)  6 V 2.74-2.80
Sb (0.6585, 0.8415, 0.5000)  6 V 2.74-2.80
Sb (0.8415, 0.3415, 0.5000)  6 V 2.74-2.80

No. 7
## PuFeSi (PBE-GGA)

Data for crystalline PuFeSi at its relaxed geometry.

## Properties
As for the final energy: -0.358 Ha/atom. The calculation puts the energy relative to the elements, uncorrected at -0.34 eV per atom.

a = 4.1813 Å, b = 4.1813 Å, c = 3.4859 Å
α = 90.00°, β = 90.00°, γ = 120.00°
Last column: nearest neighbours and their distance in Å.
Positions (direct):
Pu (0.0000, 0.0000, 0.0000)  6 Fe 2.98, 6 Si 2.98
Fe (0.6667, 0.3333, 0.5000)  3 Si 2.41
Si (0.3333, 0.6667, 0.5000)  3 Fe 2.41

No. 8
## Pa2InSi3Rh4 (PBE-GGA)

Data for crystalline Pa2InSi3Rh4 at its relaxed geometry.

## Properties
As for the final energy: -0.278 Ha/atom. The calculation puts the energy relative to the elements, uncorrected at -0.82 eV per atom.

a = 4.0047 Å, b = 4.0047 Å, c = 10.9775 Å
α = 90.00°, β = 90.00°, γ = 90.00°
Last column: nearest neighbours and their distance in Å.
Positions (direct):
Pa (0.0000, 0.5000, 0.2368)  8 Rh 3.03-3.28, 4 Si 3.10
Pa (0.5000, 0.0000, 0.7632)  8 Rh 3.03-3.28, 4 Si 3.10
In (0.0000, 0.0000, 0.5000)  4 Rh 2.70, 4 Si 2.83
Si (0.0000, 0.5000, 0.8784)  5 Rh 2.35-2.41
Si (0.5000, 0.0000, 0.1216)  5 Rh 2.35-2.41
Si (0.5000, 0.5000, 0.5000)  4 Rh 2.70, 4 In 2.83
Rh (0.0000, 0.0000, 0.0000)  4 Si 2.41
Rh (0.0000, 0.5000, 0.6647)  1 Si 2.35
Rh (0.5000, 0.0000, 0.3353)  1 Si 2.35
Rh (0.5000, 0.5000, 0.0000)  4 Si 2.41

Size of the total moment list, top to bottom, in μB/cell: 0.00; 0.00; 0.37; 0.00; 8.04; 0.00; 2.96; 0.00